## Ta2CdBr (PBEsol)

Data for a geometry-optimized Ta2CdBr structure.

Computed properties:
E_form (uncorrected): 871 meV per atom
space group: P4/mmm
spin magnetization: 0.00 μB/cell
N(E_F): 3.9 states/eV per cell

```
Ta2CdBr
1.0
-1.276 3.682 -0.981
-2.897 -0.266 2.772
2.964 1.901 3.280
Br Ta Cd
1 2 1
Direct
0.500 0.500 0.500
0.000 0.500 0.000
0.500 0.000 0.000
0.000 0.000 0.500
```